The following is a PBE calculation of a geometry-optimized Zn2CrCo structure, from Alexandria via LeMat-Bulk.

Unit cell a=4.1427 b=4.1427 c=4.1427 alpha=60.00 beta=60.00 gamma=60.00
Element x y z (fractional)
Co (0.5000, 0.5000, 0.5000)
Cr (0.7500, 0.7500, 0.7500)
Zn (0.0000, 0.0000, 0.0000)
Zn (0.2500, 0.2500, 0.2500)

Summary:
Symmetry: F-43m, No. 216
V: 12.57 A^3/atom
Electronic total energy: -4.662 eV per atom